Entry from Alexandria: a relaxed Gd12V3H5 crystal (PBE).

a = 15.461 Å, b = 15.461 Å, c = 15.461 Å
α = 90.00°, β = 90.00°, γ = 90.00°
Space group Ia-3d (No. 230)
Symmetry-distinct sites (fractional):
Gd (0.037, 0.057, 0.652)
V (0.000, 0.250, 0.125)
H (0.000, 0.000, 0.000)
H (0.000, 0.250, 0.375)

The energy is -10.613 eV per atom. As for the density of states at the Fermi level: 22.39 states/eV/f.u.

Entry from Alexandria: a relaxed Gd3V5H12 crystal (PBE).

a = 11.621 Å, b = 11.621 Å, c = 11.621 Å
α = 90.00°, β = 90.00°, γ = 90.00°
Space group Ia-3d (No. 230)
Symmetry-distinct sites (fractional):
Gd (0.000, 0.250, 0.125)
V (0.000, 0.000, 0.000)
V (0.000, 0.250, 0.375)
H (0.025, 0.058, 0.643)

The energy is -6.615 eV per atom. As for the density of states at the Fermi level: 9.27 states/eV/f.u.

Entry from Alexandria: a relaxed Gd5Y3H12 crystal (PBE).

a = 13.179 Å, b = 13.179 Å, c = 13.179 Å
α = 90.00°, β = 90.00°, γ = 90.00°
Space group Ia-3d (No. 230)
Symmetry-distinct sites (fractional):
Gd (0.000, 0.000, 0.000)
Gd (0.000, 0.250, 0.375)
Y (0.000, 0.250, 0.125)
H (0.002, 0.069, 0.656)

The energy is -6.964 eV per atom. As for the density of states at the Fermi level: 14.40 states/eV/f.u.